Below is crystalline YMoPt2 at its relaxed geometry, with properties calculated at the PBE level.

Output
calculated total energy: -7.820 eV per atom
E above lowest polymorph: 0.000 eV/atom
E_form: -0.475 eV per atom

CIF file:
```
data_YMoPt2
_cell_length_a 2.963
_cell_length_b 4.699
_cell_length_c 5.223
_cell_angle_alpha 90.00
_cell_angle_beta 95.74
_cell_angle_gamma 90.00
_symmetry_space_group_name_H-M 'P 1 m 1'
_symmetry_Int_Tables_number 6
loop_
_symmetry_equiv_pos_as_xyz
'x,y,z'
'x,-y,z'
loop_
_atom_site_label
_atom_site_type_symbol
_atom_site_fract_x
_atom_site_fract_y
_atom_site_fract_z
Y1 Y 0.000 0.000 0.000
Mo1 Mo 0.838 0.500 0.391
Pt1 Pt 0.450 0.000 0.502
Pt2 Pt 0.457 0.500 0.847
```